[1]
The following is a GGA-PBE calculation of MgScIn2 after structural relaxation, from the Alexandria database.

Calculated values
Formation enthalpy at 0 K (eV per atom): -0.190
DFT total energy (eV/cell): -14.2

Lattice parameters (Å, degrees): 5.1959 5.1959 5.7316 78.88 78.88 38.78
Atoms (fractional coordinates):
Mg 0.7500 0.7500 0.7500
In 0.0029 0.0029 0.9974
Sc 0.2500 0.2500 0.2500
In 0.4971 0.4971 0.5026



[2]
The following is a GGA-PBE calculation of Nd5Sm4Sc2 after structural relaxation, from the Alexandria database.

Calculated values
Formation enthalpy at 0 K (eV per atom): 0.249
Offset from the most stable computed form (meV per atom): 174
DFT total energy (eV/cell): -52.6

Lattice parameters (Å, degrees): 3.4892 9.4757 12.4233 112.42 98.07 90.00
Atoms (fractional coordinates):
Sm 0.0000 0.3011 0.0000
Nd 0.8437 0.6331 0.6873
Nd 0.1563 0.9458 0.3127
Nd 0.5000 0.0000 0.0000
Nd 0.8437 0.0542 0.6873
Nd 0.1563 0.3669 0.3127
Sm 0.0000 0.6989 0.0000
Sc 0.7304 0.7304 0.4607
Sm 0.5984 0.5984 0.1968
Sm 0.4016 0.4016 0.8032
Sc 0.2696 0.2696 0.5393



[3]
The following is a GGA-PBE calculation of SiPb2Br after structural relaxation, from the Alexandria database.

Calculated values
Raw formation energy (eV/atom): 0.313
Offset from the most stable computed form (meV per atom): 377
DFT total energy (eV/cell): -13.3

Lattice parameters (Å, degrees): 5.3357 5.3357 5.3357 60.00 60.00 60.00
Atoms (fractional coordinates):
Pb 0.2500 0.2500 0.2500
Si 0.7500 0.7500 0.7500
Pb 0.0000 0.0000 0.0000
Br 0.5000 0.5000 0.5000



[4]
The following is a GGA-PBE calculation of Tm7HPb4 after structural relaxation, from the Alexandria database.

Calculated values
DFT total energy (eV/cell): -52.4

Lattice parameters (Å, degrees): 5.0259 8.8724 8.4519 77.81 72.70 73.55
Atoms (fractional coordinates):
Pb 0.7203 0.6538 0.9056
Pb 0.5783 0.2115 0.6318
Tm 0.5000 0.0000 0.0000
Tm 0.6378 0.4446 0.2797
H 0.0000 0.0000 0.0000
Tm 0.0686 0.7405 0.1222
Pb 0.4217 0.7885 0.3682
Pb 0.2797 0.3462 0.0944
Tm 0.7876 0.8565 0.5682
Tm 0.3622 0.5554 0.7203
Tm 0.9314 0.2595 0.8778
Tm 0.2124 0.1435 0.4318



[5]
The following is a GGA-PBE calculation of In2AgSnAu5 after structural relaxation, from the Alexandria database.

Calculated values
Formation enthalpy at 0 K (eV per atom): -0.099
DFT total energy (eV/cell): -59.2

Lattice parameters (Å, degrees): 3.6034 8.7313 12.1545 90.00 90.00 101.91
Atoms (fractional coordinates):
Au 0.5572 0.1144 0.5194
In 0.8938 0.7876 0.8519
Ag 0.7290 0.4580 0.4870
Au 0.2670 0.5341 0.3075
Au 0.4836 0.9673 0.2648
Au 0.4428 0.8856 0.0194
Au 0.0668 0.1336 0.1200
Sn 0.3911 0.7821 0.4528
In 0.1345 0.2689 0.6700
In 0.1062 0.2124 0.3519
Au 0.9332 0.8664 0.6200
In 0.8655 0.7311 0.1700
Au 0.5164 0.0327 0.7648
Sn 0.6089 0.2179 0.9528
Au 0.7004 0.4008 0.1505
Ag 0.2710 0.5420 0.9870
Au 0.7330 0.4659 0.8075
Au 0.2996 0.5992 0.6505



[6]
The following is a GGA-PBE calculation of Nd2ErHg4 after structural relaxation, from the Alexandria database.

Calculated values
Formation enthalpy at 0 K (eV per atom): -0.347
Offset from the most stable computed form (meV per atom): 0
DFT total energy (eV/cell): -17.7

Lattice parameters (Å, degrees): 5.1381 5.1381 9.4893 74.29 74.29 60.00
Atoms (fractional coordinates):
Nd 0.7557 0.7557 0.7328
Hg 0.3696 0.3696 0.8912
Nd 0.2443 0.2443 0.2672
Hg 0.6304 0.6304 0.1088
Er 0.0000 0.0000 0.0000
Hg 0.1273 0.1273 0.6182
Hg 0.8727 0.8727 0.3818



Repeat the fifth record exactly.
The following is a GGA-PBE calculation of In2AgSnAu5 after structural relaxation, from the Alexandria database.

Calculated values
Formation enthalpy at 0 K (eV per atom): -0.099
DFT total energy (eV/cell): -59.2

Lattice parameters (Å, degrees): 3.6034 8.7313 12.1545 90.00 90.00 101.91
Atoms (fractional coordinates):
Au 0.5572 0.1144 0.5194
In 0.8938 0.7876 0.8519
Ag 0.7290 0.4580 0.4870
Au 0.2670 0.5341 0.3075
Au 0.4836 0.9673 0.2648
Au 0.4428 0.8856 0.0194
Au 0.0668 0.1336 0.1200
Sn 0.3911 0.7821 0.4528
In 0.1345 0.2689 0.6700
In 0.1062 0.2124 0.3519
Au 0.9332 0.8664 0.6200
In 0.8655 0.7311 0.1700
Au 0.5164 0.0327 0.7648
Sn 0.6089 0.2179 0.9528
Au 0.7004 0.4008 0.1505
Ag 0.2710 0.5420 0.9870
Au 0.7330 0.4659 0.8075
Au 0.2996 0.5992 0.6505